# 1
Tb2YTh4 | GGA-PBE | optimized geometry

Calculated values
formation enthalpy at 0 K = 0.224 eV per atom
E = -87.7 eV/cell

Cell and atoms, written as extended XYZ:
```
14
Lattice="6.529 -0.563 -2.003 -3.922 5.250 -2.003 0.802 1.442 13.429" Properties=species:S:1:pos:R:3 pbc="T T T"
Tb 0.718 4.085 8.068
Tb 4.651 1.897 8.068
Tb 2.691 2.044 1.354
Tb -1.242 4.232 1.354
Y 5.724 0.357 1.354
Y -2.315 5.772 8.068
Th 1.336 1.820 5.816
Th 4.664 2.237 11.503
Th 4.369 1.707 4.634
Th 2.969 4.755 10.321
Th 0.441 1.374 -0.899
Th -0.960 4.422 4.788
Th -1.255 3.891 -2.081
Th 2.073 4.309 3.607
```



# 2
TbY10Th4 | GGA-PBE | optimized geometry

Calculated values
formation enthalpy at 0 K = 0.305 eV per atom
E = -94.4 eV/cell

Cell and atoms, written as extended XYZ:
```
15
Lattice="-6.007 3.270 3.568 -2.430 -3.794 7.726 2.026 6.527 5.769" Properties=species:S:1:pos:R:3 pbc="T T T"
Tb 0.000 0.000 0.000
Y -1.704 2.184 7.639
Y -3.181 6.684 8.716
Y -0.560 0.831 3.116
Y -3.316 3.792 12.441
Y -5.764 0.698 9.852
Y -3.230 -0.681 8.347
Y -4.707 3.819 9.423
Y -0.647 5.304 7.210
Y -3.094 2.211 4.622
Y -5.851 5.171 13.946
Th -2.707 0.496 11.666
Th -3.721 7.308 12.055
Th -2.690 -1.305 5.007
Th -3.704 5.507 5.396
```



# 3
TbY2Th2 | GGA-PBE | optimized geometry

Calculated values
formation enthalpy at 0 K = 0.303 eV per atom
E = -61.8 eV/cell
polymorph energy (0 for the lowest one) = 0.232 eV/atom

Cell and atoms, written as extended XYZ:
```
10
Lattice="8.521 1.181 1.704 -2.338 5.939 0.365 -2.338 -1.743 5.689" Properties=species:S:1:pos:R:3 pbc="T T T"
Tb -0.208 4.685 1.864
Tb 4.053 0.692 5.893
Y 0.380 1.579 0.652
Y 3.465 3.798 7.105
Y -0.796 4.730 5.198
Y 4.641 0.647 2.559
Th -2.338 2.098 3.027
Th -1.169 -0.871 2.844
Th 1.923 2.688 3.879
Th 3.092 3.560 1.034
```



# 4
Tb12Y6Th | GGA-PBE | optimized geometry

Calculated values
formation enthalpy at 0 K = 0.145 eV per atom
E = -99.0 eV/cell
polymorph energy (0 for the lowest one) = 0.000 eV/atom

Cell and atoms, written as extended XYZ:
```
19
Lattice="8.492 0.679 0.813 -0.617 8.496 0.813 -0.617 -0.718 8.505" Properties=species:S:1:pos:R:3 pbc="T T T"
Tb 5.976 4.807 4.795
Tb 2.908 6.492 5.587
Tb 3.846 3.532 7.386
Tb 1.282 3.649 5.336
Tb 4.350 1.964 4.544
Tb 3.413 4.925 2.745
Tb -0.246 1.541 3.151
Tb 5.698 5.355 9.577
Tb 4.429 8.271 8.051
Tb 7.504 6.915 6.980
Tb 1.561 3.102 0.554
Tb 2.830 0.185 2.080
Y 5.573 7.993 3.971
Y 5.654 2.572 1.557
Y 0.203 5.751 2.809
Y 1.685 0.464 6.160
Y 1.605 5.884 8.574
Y 7.056 2.706 7.322
Th 0.000 0.000 0.000
```



# 5
Tb2Y5Th3 | GGA-PBE | optimized geometry

Calculated values
formation enthalpy at 0 K = 0.039 eV per atom
E = -63.5 eV/cell

Cell and atoms, written as extended XYZ:
```
10
Lattice="-0.820 4.763 1.456 -5.284 0.817 3.113 0.073 -1.244 12.881" Properties=species:S:1:pos:R:3 pbc="T T T"
Tb -5.560 2.474 6.292
Tb -0.470 1.862 11.158
Y 0.000 0.000 0.000
Y -0.126 0.209 8.010
Y -5.904 4.128 9.439
Y -3.204 3.611 3.888
Y -2.827 0.725 13.561
Th -3.015 2.168 8.725
Th -2.727 0.503 5.578
Th -3.303 3.834 11.871
```



# 6
Tb2YTh | GGA-PBE | optimized geometry

Calculated values
formation enthalpy at 0 K = 0.024 eV per atom
E = -23.0 eV/cell
polymorph energy (0 for the lowest one) = 0.018 eV/atom

Cell and atoms, written as extended XYZ:
```
4
Lattice="3.580 0.000 0.000 1.790 3.100 0.000 1.790 1.033 11.604" Properties=species:S:1:pos:R:3 pbc="T T T"
Y 3.580 2.067 5.802
Tb 1.790 1.033 2.848
Tb 5.369 3.100 8.756
Th 0.000 0.000 0.000
```